(1)
Compound: Tl12In5Bi2
Source: Alexandria
Functional: GGA-PBE
Structure: optimized geometry

a = 5.6716 Å, b = 11.2327 Å, c = 11.2327 Å
α = 59.33°, β = 76.16°, γ = 76.16°
Closest atoms and distances in Å follow each position.
Element x y z (fractional)
Tl1 0.0981 0.9006 0.9006  5 In 3.36-3.68, 2 Bi 3.39, 3 Tl 3.41-3.73
Tl2 0.2031 0.5455 0.0497  2 In 3.30-3.33, 6 Tl 3.33-3.48
Tl3 0.2031 0.0497 0.5455  2 In 3.30-3.33, 6 Tl 3.33-3.48
Tl4 0.5982 0.6389 0.1651  3 In 3.30-3.47, 2 Bi 3.36-3.41, 3 Tl 3.42-3.68
Tl5 0.5982 0.1651 0.6389  3 In 3.30-3.47, 2 Bi 3.36-3.41, 3 Tl 3.42-3.68
Tl6 0.0992 0.4016 0.4016  2 Bi 3.29, 2 Tl 3.38, 2 In 3.45-3.48
Tl7 0.9008 0.5984 0.5984  2 Bi 3.29, 2 Tl 3.38, 2 In 3.45-3.48
Tl8 0.4018 0.3611 0.8349  3 In 3.30-3.47, 2 Bi 3.36-3.41, 3 Tl 3.42-3.68
Tl9 0.4018 0.8349 0.3611  3 In 3.30-3.47, 2 Bi 3.36-3.41, 3 Tl 3.42-3.68
Tl10 0.7969 0.4545 0.9503  2 In 3.30-3.33, 6 Tl 3.33-3.48
Tl11 0.7969 0.9503 0.4545  2 In 3.30-3.33, 6 Tl 3.33-3.48
Tl12 0.9019 0.0994 0.0994  5 In 3.36-3.68, 2 Bi 3.39, 3 Tl 3.41-3.73
In1 0.3037 0.1976 0.1976  6 Tl 3.33-3.47, 3 In 3.35-3.71
In2 0.7034 0.2957 0.2957  7 Tl 3.30-3.68, 2 In 3.35-3.42
In3 0.5000 0.0000 0.0000  8 Tl 3.38-3.46, 2 In 3.71
In4 0.2966 0.7043 0.7043  7 Tl 3.30-3.68, 2 In 3.35-3.42
In5 0.6963 0.8024 0.8024  6 Tl 3.33-3.47, 3 In 3.35-3.71
Bi1 0.0000 0.2550 0.7450  8 Tl 3.29-3.41
Bi2 0.0000 0.7450 0.2550  8 Tl 3.29-3.41

total magnetization	0.000	Bohr magnetons per cell
calculated formation energy	0.5	eV/f.u.
N(E_F)	0.4020	states/eV/atom
calculated total energy	-2.60	eV per atom

***

(2)
Compound: TlIn4Bi2
Source: Alexandria
Functional: GGA-PBE
Structure: optimized geometry

a = 5.3384 Å, b = 9.1893 Å, c = 9.1893 Å
α = 90.00°, β = 90.00°, γ = 90.00°
Closest atoms and distances in Å follow each position.
Element x y z (fractional)
Tl1 0.5000 0.0000 0.0000  6 Bi 3.77-3.84, 4 In 3.84
Tl2 0.0000 0.5000 0.5000  6 Bi 3.77-3.84, 4 In 3.84
In1 0.0000 0.1057 0.3627  6 In 3.18-3.49, 3 Bi 3.20-3.25
In2 0.0000 0.8943 0.6373  6 In 3.18-3.49, 3 Bi 3.20-3.25
In3 0.5000 0.1373 0.6057  6 In 3.18-3.49, 3 Bi 3.20-3.25
In4 0.5000 0.8627 0.3943  6 In 3.18-3.49, 3 Bi 3.20-3.25
In5 0.5000 0.3943 0.8627  6 In 3.18-3.49, 3 Bi 3.20-3.25
In6 0.5000 0.6057 0.1373  6 In 3.18-3.49, 3 Bi 3.20-3.25
In7 0.0000 0.3627 0.1057  6 In 3.18-3.49, 3 Bi 3.20-3.25
In8 0.0000 0.6373 0.8943  6 In 3.18-3.49, 3 Bi 3.20-3.25
Bi1 0.0000 0.2047 0.7953  6 In 3.20-3.25
Bi2 0.0000 0.7953 0.2047  6 In 3.20-3.25
Bi3 0.5000 0.7047 0.7047  6 In 3.20-3.25
Bi4 0.5000 0.2953 0.2953  6 In 3.20-3.25

excess energy over the best structure of this formula in the dataset	0.008	eV per atom
total magnetization	0.000	Bohr magnetons per cell
calculated formation energy	0.3	eV/f.u.
N(E_F)	0.5489	states/eV/atom
calculated total energy	-2.96	eV per atom

***

(3)
Compound: TlIn3Bi4
Source: Alexandria
Functional: GGA-PBE
Structure: optimized geometry

a = 5.7509 Å, b = 6.4526 Å, c = 7.6172 Å
α = 103.99°, β = 112.18°, γ = 90.00°
Closest atoms and distances in Å follow each position.
Element x y z (fractional)
Tl1 0.5000 0.0000 0.0000  4 In 3.37, 6 Bi 3.50-3.76
Bi1 0.7542 0.2196 0.5085  3 Bi 3.15-3.37, 4 In 3.37-3.47, 1 Tl 3.50
Bi2 0.2458 0.7804 0.4915  3 Bi 3.15-3.37, 4 In 3.37-3.47, 1 Tl 3.50
Bi3 0.3630 0.4272 0.7259  3 Bi 3.15-3.37, 3 In 3.38-3.43
Bi4 0.6370 0.5728 0.2741  3 Bi 3.15-3.37, 3 In 3.38-3.43
In1 0.0000 0.5000 0.0000  2 In 3.11, 6 Bi 3.43-3.47
In2 0.8779 0.8380 0.7559  1 In 3.11, 4 Bi 3.37-3.39, 2 Tl 3.37
In3 0.1221 0.1620 0.2441  1 In 3.11, 4 Bi 3.37-3.39, 2 Tl 3.37

total magnetization	0.000	Bohr magnetons per cell
calculated formation energy	0.5	eV/f.u.
N(E_F)	0.4319	states/eV/atom
calculated total energy	-3.20	eV per atom

***

(4)
Compound: Tl5In12Bi2
Source: Alexandria
Functional: GGA-PBE
Structure: optimized geometry

a = 10.9935 Å, b = 10.9935 Å, c = 5.6411 Å
α = 77.02°, β = 77.02°, γ = 59.27°
Closest atoms and distances in Å follow each position.
Element x y z (fractional)
Tl1 0.8039 0.8039 0.6606  6 In 3.33-3.39, 3 Tl 3.39-3.62
Tl2 0.6975 0.6975 0.2437  6 In 3.21-3.35, 2 Tl 3.39-3.48
Tl3 0.0000 0.0000 0.5000  8 In 3.32-3.39, 2 Tl 3.62
Tl4 0.3025 0.3025 0.7563  6 In 3.21-3.35, 2 Tl 3.39-3.48
Tl5 0.1961 0.1961 0.3394  6 In 3.33-3.39, 3 Tl 3.39-3.62
In1 0.0984 0.0984 0.9205  3 In 3.29-3.63, 4 Tl 3.32-3.39, 2 Bi 3.39
In2 0.4480 0.9520 0.8011  6 In 3.29-3.48, 2 Tl 3.30-3.36
In3 0.9520 0.4480 0.8011  6 In 3.29-3.48, 2 Tl 3.30-3.36
In4 0.3590 0.8346 0.4064  3 Tl 3.21-3.39, 2 Bi 3.30-3.38, 4 In 3.34-3.58
In5 0.8346 0.3590 0.4064  3 Tl 3.21-3.39, 2 Bi 3.30-3.38, 4 In 3.34-3.58
In6 0.6012 0.6012 0.8241  2 Bi 3.22, 4 In 3.31-3.51, 2 Tl 3.32-3.35
In7 0.3988 0.3988 0.1759  2 Bi 3.22, 4 In 3.31-3.51, 2 Tl 3.32-3.35
In8 0.6410 0.1654 0.5936  3 Tl 3.21-3.39, 2 Bi 3.30-3.38, 4 In 3.34-3.58
In9 0.1654 0.6410 0.5936  3 Tl 3.21-3.39, 2 Bi 3.30-3.38, 4 In 3.34-3.58
In10 0.5520 0.0480 0.1989  6 In 3.29-3.48, 2 Tl 3.30-3.36
In11 0.0480 0.5520 0.1989  6 In 3.29-3.48, 2 Tl 3.30-3.36
In12 0.9016 0.9016 0.0795  3 In 3.29-3.63, 4 Tl 3.32-3.39, 2 Bi 3.39
Bi1 0.7367 0.2633 0.0000  8 In 3.22-3.39
Bi2 0.2633 0.7367 0.0000  8 In 3.22-3.39

total magnetization	0.000	Bohr magnetons per cell
calculated formation energy	0.8	eV/f.u.
N(E_F)	0.3594	states/eV/atom
calculated total energy	-2.72	eV per atom

***

(5)
Compound: TlIn5Bi2
Source: Alexandria
Functional: GGA-PBE
Structure: optimized geometry

a = 4.8532 Å, b = 6.9629 Å, c = 13.9195 Å
α = 90.00°, β = 90.00°, γ = 90.00°
Closest atoms and distances in Å follow each position.
Element x y z (fractional)
Tl1 0.0000 0.0000 0.5000  8 In 3.45-3.51, 4 Bi 3.51
Tl2 0.0000 0.5000 0.0000  8 In 3.45-3.51, 4 Bi 3.51
In1 0.0000 0.0000 0.0000  6 In 3.45-3.46, 4 Bi 3.47, 2 Tl 3.48
In2 0.0000 0.5000 0.5000  6 In 3.45-3.46, 4 Bi 3.47, 2 Tl 3.48
In3 0.0000 0.5074 0.7482  4 Bi 3.42-3.43, 7 In 3.42-3.49, 1 Tl 3.51
In4 0.0000 0.4926 0.2518  4 Bi 3.42-3.43, 7 In 3.42-3.49, 1 Tl 3.51
In5 0.0000 0.9926 0.2482  4 Bi 3.42-3.43, 7 In 3.42-3.49, 1 Tl 3.51
In6 0.0000 0.0074 0.7518  4 Bi 3.42-3.43, 7 In 3.42-3.49, 1 Tl 3.51
In7 0.5000 0.2516 0.8750  4 Bi 3.42-3.54, 6 In 3.42-3.49, 2 Tl 3.45
In8 0.5000 0.7484 0.1250  4 Bi 3.42-3.54, 6 In 3.42-3.49, 2 Tl 3.45
In9 0.5000 0.2484 0.3750  4 Bi 3.42-3.54, 6 In 3.42-3.49, 2 Tl 3.45
In10 0.5000 0.7516 0.6250  4 Bi 3.42-3.54, 6 In 3.42-3.49, 2 Tl 3.45
Bi1 0.5000 0.2561 0.6296  10 In 3.42-3.54, 2 Tl 3.51
Bi2 0.5000 0.7439 0.3704  10 In 3.42-3.54, 2 Tl 3.51
Bi3 0.5000 0.2439 0.1296  10 In 3.42-3.54, 2 Tl 3.51
Bi4 0.5000 0.7561 0.8704  10 In 3.42-3.54, 2 Tl 3.51

excess energy over the best structure of this formula in the dataset	0.000	eV per atom
total magnetization	0.000	Bohr magnetons per cell
calculated formation energy	0.1	eV/f.u.
N(E_F)	0.4267	states/eV/atom
calculated total energy	-2.97	eV per atom

***

(6)
Compound: TlIn8Bi2
Source: Alexandria
Functional: GGA-PBE
Structure: optimized geometry

a = 5.7386 Å, b = 6.2253 Å, c = 9.8539 Å
α = 108.41°, β = 98.63°, γ = 90.00°
Closest atoms and distances in Å follow each position.
Element x y z (fractional)
Tl1 0.0000 0.0000 0.0000  10 In 3.28-3.59
In1 0.5336 0.3356 0.1761  5 In 3.08-3.34
In2 0.4664 0.1594 0.8239  5 In 3.08-3.34
In3 0.9350 0.8225 0.6450  2 Bi 3.21-3.28, 1 Tl 3.28, 4 In 3.54-3.59
In4 0.0650 0.1775 0.3550  2 Bi 3.21-3.28, 1 Tl 3.28, 4 In 3.54-3.59
In5 0.5336 0.8406 0.1761  5 In 3.08-3.34
In6 0.4664 0.6644 0.8239  5 In 3.08-3.34
In7 0.0182 0.5863 0.1725  7 In 3.20-3.54, 1 Bi 3.29, 2 Tl 3.50
In8 0.9818 0.4137 0.8275  7 In 3.20-3.54, 1 Bi 3.29, 2 Tl 3.50
Bi1 0.3855 0.7405 0.4810  7 In 3.21-3.52, 2 Bi 3.38
Bi2 0.6145 0.2595 0.5190  7 In 3.21-3.52, 2 Bi 3.38

excess energy over the best structure of this formula in the dataset	0.000	eV per atom
total magnetization	0.000	Bohr magnetons per cell
calculated formation energy	0.5	eV/f.u.
N(E_F)	0.4032	states/eV/atom
calculated total energy	-2.87	eV per atom

***

- Among the records above, which one has the highest N(E_F)?
  TlIn4Bi2